Below is a relaxed structure of Th2CdCu3, with properties calculated at the PBE-GGA level.

Cell: 6.874 9.263 15.906 Å, 90.00 90.00 90.00°
Space group Fmmm (No. 69)
Inequivalent atoms, fractional coordinates:
Th 0.240 0.000 0.000 x8
Th 0.250 0.250 0.250 x8
Cd 0.000 0.000 0.334 x8
Cu 0.000 0.000 0.163 x8
Cu 0.000 0.244 0.081 x16

Excess energy over the best structure of this formula in the dataset (meV per atom): 0

***

Below is a relaxed structure of ThCdCu3, with properties calculated at the PBE-GGA level.

Cell: 3.476 25.107 4.321 Å, 90.00 90.00 90.00°
Space group Cmcm (No. 63)
Inequivalent atoms, fractional coordinates:
Th 0.000 0.076 0.250 x4
Cd 0.000 0.211 0.750 x4
Cu 0.000 0.321 0.750 x4
Cu 0.000 0.374 0.250 x4
Cu 0.000 0.474 0.250 x4

***

Below is a relaxed structure of Th2CdCu3, with properties calculated at the PBE-GGA level.

Cell: 3.753 4.262 16.412 Å, 90.00 90.00 90.00°
Space group Imm2 (No. 44)
Inequivalent atoms, fractional coordinates:
Th 0.000 0.000 0.000 x2
Th 0.000 0.500 0.287 x2
Cd 0.000 0.000 0.609 x2
Cu 0.000 0.000 0.443 x2
Cu 0.000 0.500 0.702 x2
Cu 0.000 0.500 0.851 x2

Excess energy over the best structure of this formula in the dataset (meV per atom): 38

***

Below is a relaxed structure of ThTlCdCu, with properties calculated at the PBE-GGA level.

Cell: 7.235 7.235 7.235 Å, 90.00 90.00 90.00°
Space group F-43m (No. 216)
Inequivalent atoms, fractional coordinates:
Th 0.000 0.000 0.000 x4
Tl 0.250 0.250 0.250 x4
Cd 0.000 0.000 0.500 x4
Cu 0.250 0.250 0.750 x4

***

Below is a relaxed structure of TmThCdCu, with properties calculated at the PBE-GGA level.

Cell: 7.329 7.329 7.329 Å, 90.00 90.00 90.00°
Space group F-43m (No. 216)
Inequivalent atoms, fractional coordinates:
Tm 0.000 0.000 0.000 x4
Th 0.000 0.000 0.500 x4
Cd 0.250 0.250 0.750 x4
Cu 0.250 0.250 0.250 x4

***

Below is a relaxed structure of ThZn5CdCu2, with properties calculated at the PBE-GGA level.

Cell: 4.745 4.745 7.246 Å, 90.00 90.00 90.00°
Space group P4/mmm (No. 123)
Inequivalent atoms, fractional coordinates:
Th 0.000 0.000 0.000 x1
Zn 0.000 0.500 0.276 x4
Zn 0.500 0.500 0.000 x1
Cd 0.000 0.000 0.500 x1
Cu 0.500 0.500 0.334 x2

***

Below is a relaxed structure of ThZn2Cd2Cu, with properties calculated at the PBE-GGA level.

Cell: 5.037 5.037 10.966 Å, 90.00 90.00 90.00°
Space group I4/mmm (No. 139)
Inequivalent atoms, fractional coordinates:
Th 0.000 0.000 0.000 x2
Zn 0.000 0.000 0.292 x4
Cd 0.000 0.500 0.250 x4
Cu 0.000 0.000 0.500 x2

***

Below is a relaxed structure of ThZn2CdCu2, with properties calculated at the PBE-GGA level.

Cell: 4.3571 4.3571 6.8081 Å, 90.00 90.00 120.00°
Space group P-3m1 (No. 164)
Inequivalent atoms, fractional coordinates:
Th 0.0000 0.0000 0.0000 x1
Zn 0.3333 0.6667 0.2916 x2
Cd 0.0000 0.0000 0.5000 x1
Cu 0.3333 0.6667 0.7247 x2

***

Below is a relaxed structure of Th2Zn3CdCu12, with properties calculated at the PBE-GGA level.

Cell: 6.3834 6.3834 26.6952 Å, 90.00 90.00 120.00°
Space group R-3m (No. 166, hexagonal axes)
Inequivalent atoms, fractional coordinates:
Th 0.0000 0.0000 0.1409 x6
Zn 0.0000 0.5000 0.0000 x9
Cd 0.0000 0.0000 0.5000 x3
Cu 0.0561 0.5281 0.9011 x18
Cu 0.0811 0.5406 0.6237 x18

***

Below is a relaxed structure of TiCd2Cu, with properties calculated at the PBE-GGA level.

Cell: 2.988 2.988 7.930 Å, 90.00 90.00 90.00°
Space group P4/mmm (No. 123)
Inequivalent atoms, fractional coordinates:
Ti 0.000 0.000 0.000 x1
Cd 0.500 0.500 0.269 x2
Cu 0.000 0.000 0.500 x1

***

Below is a relaxed structure of TiCd3Cu, with properties calculated at the PBE-GGA level.

Cell: 5.397 5.397 5.397 Å, 90.00 90.00 90.00°
Space group Pm-3m (No. 221)
Inequivalent atoms, fractional coordinates:
Ti 0.000 0.000 0.000 x1
Cd 0.000 0.000 0.500 x3
Cu 0.500 0.500 0.500 x1

Excess energy over the best structure of this formula in the dataset (meV per atom): 528

***

Below is a relaxed structure of Ti2CdCu2, with properties calculated at the PBE-GGA level.

Cell: 3.255 3.255 16.301 Å, 90.00 90.00 90.00°
Space group I4/mmm (No. 139)
Inequivalent atoms, fractional coordinates:
Ti 0.000 0.000 0.118 x4
Cd 0.000 0.000 0.500 x2
Cu 0.000 0.500 0.250 x4

***

Number 1: energy relative to the elements -125 meV/atom. Number 2: energy relative to the elements -63 meV/atom. Number 3: energy relative to the elements -87 meV/atom. Number 4: energy relative to the elements -5 meV/atom. Number 5: energy relative to the elements -84 meV/atom. Number 6: energy relative to the elements 32 meV/atom. Number 7: energy relative to the elements 333 meV/atom. Number 8: energy relative to the elements -145 meV/atom. Number 9: energy relative to the elements 126 meV/atom. Number 10: energy relative to the elements 44 meV/atom. Number 11: energy relative to the elements 1085 meV/atom. Number 12: energy relative to the elements 297 meV/atom.